# FeCo2Rh3 | the Alexandria database | GGA-PBE | optimized geometry
# theoretical density: 10.31 Mg/m³
# formation enthalpy at 0 K: 0.042 eV per atom
# spin magnetization: 30.67 μB per cell
# Fermi-level density of states: 40.63 states/eV/cell
data_FeCo2Rh3
_space_group_name_H-M_alt 'C m m m'
_space_group_IT_number 65
_space_group_name_Hall '-C 2 2'
_cell_length_a 3.769
_cell_length_b 11.344
_cell_length_c 7.267
_cell_angle_alpha 90.00
_cell_angle_beta 90.00
_cell_angle_gamma 90.00
loop_
_atom_site_label
_atom_site_fract_x
_atom_site_fract_y
_atom_site_fract_z
Fe1 0.000 0.161 0.000
Co1 0.000 0.168 0.500
Co2 0.000 0.500 0.000
Co3 0.000 0.500 0.500
Rh1 0.000 0.000 0.255
Rh2 0.000 0.334 0.252

---

# Sc5Al2Tl | the Alexandria database | GGA-PBE | optimized geometry
# theoretical density: 4.51 Mg/m³
# formation enthalpy at 0 K: -0.312 eV per atom
# spin magnetization: 0.00 μB per cell
# Fermi-level density of states: 35.59 states/eV/cell
data_Sc5Al2Tl
_space_group_name_H-M_alt 'I 4/m c m'
_space_group_IT_number 140
_space_group_name_Hall '-I 4 2c'
_cell_length_a 7.618
_cell_length_b 7.618
_cell_length_c 12.266
_cell_angle_alpha 90.00
_cell_angle_beta 90.00
_cell_angle_gamma 90.00
loop_
_atom_site_label
_atom_site_fract_x
_atom_site_fract_y
_atom_site_fract_z
Sc1 0.000 0.000 0.000
Sc2 0.156 0.344 0.150
Al1 0.137 0.363 0.500
Tl1 0.000 0.000 0.250

---

# Ag2PtAu | the Alexandria database | GGA-PBE | optimized geometry
# theoretical density: 14.68 Mg/m³
# formation enthalpy at 0 K: 0.008 eV per atom
# spin magnetization: 0.00 μB per cell
# Fermi-level density of states: 2.06 states/eV/cell
data_Ag2PtAu
_space_group_name_H-M_alt 'P m m 2'
_space_group_IT_number 25
_space_group_name_Hall 'P 2 -2'
_cell_length_a 2.868
_cell_length_b 4.157
_cell_length_c 5.767
_cell_angle_alpha 90.00
_cell_angle_beta 90.00
_cell_angle_gamma 90.00
loop_
_atom_site_label
_atom_site_fract_x
_atom_site_fract_y
_atom_site_fract_z
Ag1 0.000 0.000 0.000
Ag2 0.500 0.500 0.252
Pt1 0.500 0.500 0.753
Au1 0.000 0.000 0.507

---

# Dy2Sc2Sb2C | the Alexandria database | GGA-PBE | optimized geometry
# theoretical density: 7.01 Mg/m³
# ΔE_f (raw): -0.93 eV per atom
# spin magnetization: 0.29 μB per cell
# Fermi-level density of states: 14.69 states/eV/cell
data_Dy2Sc2Sb2C
_space_group_name_H-M_alt 'I 4/m m m'
_space_group_IT_number 139
_space_group_name_Hall '-I 4 2'
_cell_length_a 4.494
_cell_length_b 4.494
_cell_length_c 15.719
_cell_angle_alpha 90.00
_cell_angle_beta 90.00
_cell_angle_gamma 90.00
loop_
_atom_site_label
_atom_site_fract_x
_atom_site_fract_y
_atom_site_fract_z
Dy1 0.000 0.000 0.160
Sc1 0.000 0.500 0.000
Sb1 0.000 0.000 0.362
C1 0.000 0.000 0.000

---

# NaAsRu3 | the Alexandria database | GGA-PBE | optimized geometry
# theoretical density: 6.81 Mg/m³
# formation enthalpy at 0 K: 0.871 eV per atom
# spin magnetization: 2.96 μB per cell
# Fermi-level density of states: 5.46 states/eV/cell
data_NaAsRu3
_space_group_name_H-M_alt 'P m -3 m'
_space_group_IT_number 221
_space_group_name_Hall '-P 4 2 3'
_cell_length_a 4.608
_cell_length_b 4.608
_cell_length_c 4.608
_cell_angle_alpha 90.00
_cell_angle_beta 90.00
_cell_angle_gamma 90.00
loop_
_atom_site_label
_atom_site_fract_x
_atom_site_fract_y
_atom_site_fract_z
Na1 0.000 0.000 0.000
As1 0.500 0.500 0.500
Ru1 0.000 0.500 0.500

---

# TlInGa2 | the Alexandria database | GGA-PBE | optimized geometry
# theoretical density: 7.87 Mg/m³
# formation enthalpy at 0 K: 0.068 eV per atom
# spin magnetization: 0.00 μB per cell
# Fermi-level density of states: 1.16 states/eV/cell
data_TlInGa2
_space_group_name_H-M_alt 'P 4/m m m'
_space_group_IT_number 123
_space_group_name_Hall '-P 4 2'
_cell_length_a 3.432
_cell_length_b 3.432
_cell_length_c 8.217
_cell_angle_alpha 90.00
_cell_angle_beta 90.00
_cell_angle_gamma 90.00
loop_
_atom_site_label
_atom_site_fract_x
_atom_site_fract_y
_atom_site_fract_z
Tl1 0.000 0.000 0.000
In1 0.000 0.000 0.500
Ga1 0.500 0.500 0.265

---

# BaFeAs4 | the Alexandria database | GGA-PBE | optimized geometry
# theoretical density: 5.95 Mg/m³
# formation enthalpy at 0 K: 0.218 eV per atom
# spin magnetization: 11.52 μB per cell
# Fermi-level density of states: 28.89 states/eV/cell
data_BaFeAs4
_space_group_name_H-M_alt 'F -4 3 m'
_space_group_IT_number 216
_space_group_name_Hall 'F -4 2 3'
_cell_length_a 8.192
_cell_length_b 8.192
_cell_length_c 8.192
_cell_angle_alpha 90.00
_cell_angle_beta 90.00
_cell_angle_gamma 90.00
loop_
_atom_site_label
_atom_site_fract_x
_atom_site_fract_y
_atom_site_fract_z
Ba1 0.000 0.000 0.000
Fe1 0.250 0.250 0.750
As1 0.120 0.120 0.380

---

# Er4PdSe2S | the Alexandria database | GGA-PBE | optimized geometry
# theoretical density: 8.74 Mg/m³
# ΔE_f (raw): -1.54 eV per atom
# spin magnetization: 0.00 μB per cell
# Fermi-level density of states: 4.23 states/eV/cell
data_Er4PdSe2S
_space_group_name_H-M_alt 'P 1 2/m 1'
_space_group_IT_number 10
_space_group_name_Hall '-P 2y'
_cell_length_a 7.014
_cell_length_b 3.933
_cell_length_c 7.025
_cell_angle_alpha 90.00
_cell_angle_beta 108.87
_cell_angle_gamma 90.00
loop_
_atom_site_label
_atom_site_fract_x
_atom_site_fract_y
_atom_site_fract_z
Er1 0.234 0.000 0.244
Er2 0.237 0.500 0.742
Pd1 0.000 0.500 0.000
Se1 0.500 0.000 0.000
Se2 0.500 0.500 0.500
S1 0.000 0.000 0.500

---

# Ga2AgRhO | the Alexandria database | GGA-PBE | optimized geometry
# theoretical density: 7.91 Mg/m³
# ΔE_f (raw): -0.03 eV per atom
# spin magnetization: 0.00 μB per cell
# Fermi-level density of states: 2.50 states/eV/cell
data_Ga2AgRhO
_space_group_name_H-M_alt 'P 4/m m m'
_space_group_IT_number 123
_space_group_name_Hall '-P 4 2'
_cell_length_a 4.271
_cell_length_b 4.271
_cell_length_c 4.216
_cell_angle_alpha 90.00
_cell_angle_beta 90.00
_cell_angle_gamma 90.00
loop_
_atom_site_label
_atom_site_fract_x
_atom_site_fract_y
_atom_site_fract_z
Ga1 0.000 0.500 0.000
Ag1 0.000 0.000 0.500
Rh1 0.500 0.500 0.500
O1 0.000 0.000 0.000

---

# Tb4Sm5Er | the Alexandria database | GGA-PBE | optimized geometry
# theoretical density: 7.66 Mg/m³
# formation enthalpy at 0 K: 0.258 eV per atom
# spin magnetization: 0.00 μB per cell
# Fermi-level density of states: 28.59 states/eV/cell
data_Tb4Sm5Er
_space_group_name_H-M_alt 'I 4 m m'
_space_group_IT_number 107
_space_group_name_Hall 'I 4 -2'
_cell_length_a 10.591
_cell_length_b 10.591
_cell_length_c 6.008
_cell_angle_alpha 90.00
_cell_angle_beta 90.00
_cell_angle_gamma 90.00
loop_
_atom_site_label
_atom_site_fract_x
_atom_site_fract_y
_atom_site_fract_z
Tb1 0.000 0.325 0.000
Sm1 0.000 0.000 0.243
Sm2 0.189 0.189 0.511
Er1 0.000 0.000 0.774

---

# SrThMg | the Alexandria database | GGA-PBE | optimized geometry
# theoretical density: 5.53 Mg/m³
# formation enthalpy at 0 K: 0.253 eV per atom
# spin magnetization: 0.00 μB per cell
# Fermi-level density of states: 15.48 states/eV/cell
data_SrThMg
_space_group_name_H-M_alt 'A m m 2'
_space_group_IT_number 38
_space_group_name_Hall 'A 2 -2'
_cell_length_a 18.342
_cell_length_b 3.605
_cell_length_c 6.244
_cell_angle_alpha 90.00
_cell_angle_beta 90.00
_cell_angle_gamma 90.00
loop_
_atom_site_label
_atom_site_fract_x
_atom_site_fract_y
_atom_site_fract_z
Sr1 0.167 0.000 0.000
Th1 0.349 0.000 0.663
Mg1 0.000 0.000 0.669
Mg2 0.500 0.000 0.995

---

# LiMg4Au5 | the Alexandria database | GGA-PBE | optimized geometry
# theoretical density: 10.30 Mg/m³
# formation enthalpy at 0 K: -0.592 eV per atom
# spin magnetization: 0.00 μB per cell
# Fermi-level density of states: 3.31 states/eV/cell
data_LiMg4Au5
_space_group_name_H-M_alt 'P 4/m m m'
_space_group_IT_number 123
_space_group_name_Hall '-P 4 2'
_cell_length_a 3.280
_cell_length_b 3.280
_cell_length_c 16.325
_cell_angle_alpha 90.00
_cell_angle_beta 90.00
_cell_angle_gamma 90.00
loop_
_atom_site_label
_atom_site_fract_x
_atom_site_fract_y
_atom_site_fract_z
Li1 0.000 0.000 0.000
Mg1 0.000 0.000 0.193
Mg2 0.000 0.000 0.398
Au1 0.500 0.500 0.092
Au2 0.500 0.500 0.296
Au3 0.500 0.500 0.500

---

# CaMnTl | the Alexandria database | GGA-PBE | optimized geometry
# theoretical density: 6.20 Mg/m³
# formation enthalpy at 0 K: 0.374 eV per atom
# spin magnetization: 3.95 μB per cell
# Fermi-level density of states: 2.91 states/eV/cell
data_CaMnTl
_space_group_name_H-M_alt 'P 3 m 1'
_space_group_IT_number 156
_space_group_name_Hall 'P 3 -2"'
_cell_length_a 3.5952
_cell_length_b 3.5952
_cell_length_c 7.1651
_cell_angle_alpha 90.00
_cell_angle_beta 90.00
_cell_angle_gamma 120.00
loop_
_atom_site_label
_atom_site_fract_x
_atom_site_fract_y
_atom_site_fract_z
Ca1 0.0000 0.0000 0.0000
Mn1 0.6667 0.3333 0.3518
Tl1 0.3333 0.6667 0.6371

---

# YCu2Au4 | the Alexandria database | GGA-PBE | optimized geometry
# theoretical density: 13.10 Mg/m³
# formation enthalpy at 0 K: -0.368 eV per atom
# spin magnetization: 0.00 μB per cell
# Fermi-level density of states: 7.52 states/eV/cell
data_YCu2Au4
_space_group_name_H-M_alt 'C 1 2/m 1'
_space_group_IT_number 12
_space_group_name_Hall '-C 2y'
_cell_length_a 8.648
_cell_length_b 6.952
_cell_length_c 5.232
_cell_angle_alpha 90.00
_cell_angle_beta 126.02
_cell_angle_gamma 90.00
loop_
_atom_site_label
_atom_site_fract_x
_atom_site_fract_y
_atom_site_fract_z
Y1 0.000 0.000 0.000
Cu1 0.001 0.500 0.752
Au1 0.200 0.201 0.701

---

In Ry/atom, the final energy values for the records above are, in order, -0.5448, -0.4043, -0.2754, -0.4810, -0.4328, -0.2000, -0.3390, -0.4305, -0.3142, -0.3241, -0.2434, -0.2249, -0.3042, -0.3186.